Below is crystalline MnMo2Ru2 at its relaxed geometry, with properties calculated at the PBE-GGA level.

Calculated values
calculated total energy = -0.6937 Ry/atom
size of the total moment = 0.002 Bohr magnetons per cell
crystal system = tetragonal
space group = P4/mbm (127)

Cell: 7.2413 7.2413 2.8921 Å, 90.00 90.00 90.00°
Last column: nearest neighbours and their distance in Å.
Fractional coordinates of all 10 atoms:
Mn1 0.0000 0.0000 0.0000  4 Ru 2.83, 2 Mn 2.89, 8 Mo 3.06
Mn2 0.5000 0.5000 0.0000  4 Ru 2.83, 2 Mn 2.89, 8 Mo 3.06
Mo1 0.1685 0.3315 0.5000  6 Ru 2.50-2.63
Mo2 0.3315 0.8315 0.5000  6 Ru 2.50-2.63
Mo3 0.6685 0.1685 0.5000  6 Ru 2.50-2.63
Mo4 0.8315 0.6685 0.5000  6 Ru 2.50-2.63
Ru1 0.1325 0.6325 0.0000  6 Mo 2.50-2.63, 1 Ru 2.71
Ru2 0.3675 0.1325 0.0000  6 Mo 2.50-2.63, 1 Ru 2.71
Ru3 0.6325 0.8675 0.0000  6 Mo 2.50-2.63, 1 Ru 2.71
Ru4 0.8675 0.3675 0.0000  6 Mo 2.50-2.63, 1 Ru 2.71


Below is crystalline K2Cd2Ag3 at its relaxed geometry, with properties calculated at the PBE-GGA level.

Calculated values
calculated total energy = -0.1337 Ry/atom
size of the total moment = 0.000 Bohr magnetons per cell
crystal system = monoclinic
space group = C2/m (12)

Cell: 6.5282 6.5282 7.5845 Å, 119.98 119.98 44.97°
Last column: nearest neighbours and their distance in Å.
Fractional coordinates of all 7 atoms:
K1 0.1674 0.1674 0.2800  5 Ag 3.41-3.60, 4 Cd 3.45-3.79, 2 K 3.76
K2 0.8326 0.8326 0.7200  5 Ag 3.41-3.60, 4 Cd 3.45-3.79, 2 K 3.76
Cd1 0.1279 0.1279 0.7494  5 Ag 2.95-3.01
Cd2 0.8721 0.8721 0.2506  5 Ag 2.95-3.01
Ag1 0.4123 0.4123 0.0755  2 Ag 2.79-2.90, 3 Cd 2.95-2.99
Ag2 0.5000 0.5000 0.5000  2 Ag 2.79, 4 Cd 3.01
Ag3 0.5877 0.5877 0.9245  2 Ag 2.79-2.90, 3 Cd 2.95-2.99


Below is crystalline ReW3 at its relaxed geometry, with properties calculated at the PBE-GGA level.

Calculated values
calculated total energy = -0.9393 Ry/atom
size of the total moment = 0.000 Bohr magnetons per cell
crystal system = trigonal
energy relative to the lowest polymorph listed for this composition = 0.029 eV/atom
space group = R-3m (166)

Cell: 5.2458 5.2458 5.2458 Å, 117.02 117.02 117.02°
Last column: nearest neighbours and their distance in Å.
Fractional coordinates of all 4 atoms:
Re1 0.0000 0.0000 0.0000  6 W 2.74, 2 Re 2.75
W1 0.0000 0.5000 0.5000  6 W 2.74-2.75, 2 Re 2.74
W2 0.5000 0.0000 0.5000  2 Re 2.74, 6 W 2.74-2.75
W3 0.5000 0.5000 0.0000  6 W 2.74-2.75, 2 Re 2.74


Below is crystalline Ho12Ni6Hg at its relaxed geometry, with properties calculated at the PBE-GGA level.

Calculated values
calculated total energy = -0.3744 Ry/atom
size of the total moment = 0.000 Bohr magnetons per cell
crystal system = cubic
space group = Im-3 (204)

Cell: 8.3295 8.3295 8.3295 Å, 109.47 109.47 109.47°
Last column: nearest neighbours and their distance in Å.
Fractional coordinates of all 19 atoms:
Ho1 0.1151 0.3016 0.8134  3 Ni 2.64-2.88
Ho2 0.1866 0.4882 0.3016  3 Ni 2.64-2.88
Ho3 0.1866 0.8849 0.6984  3 Ni 2.64-2.88
Ho4 0.3016 0.1866 0.4882  3 Ni 2.64-2.88
Ho5 0.3016 0.8134 0.1151  3 Ni 2.64-2.88
Ho6 0.4882 0.3016 0.1866  3 Ni 2.64-2.88
Ho7 0.5118 0.6984 0.8134  3 Ni 2.64-2.88
Ho8 0.6984 0.1866 0.8849  3 Ni 2.64-2.88
Ho9 0.6984 0.8134 0.5118  3 Ni 2.64-2.88
Ho10 0.8134 0.1151 0.3016  3 Ni 2.64-2.88
Ho11 0.8134 0.5118 0.6984  3 Ni 2.64-2.88
Ho12 0.8849 0.6984 0.1866  3 Ni 2.64-2.88
Ni1 0.1242 0.5000 0.6242  1 Ni 2.39, 2 Ho 2.64
Ni2 0.3758 0.8758 0.5000  1 Ni 2.39, 2 Ho 2.64
Ni3 0.5000 0.3758 0.8758  1 Ni 2.39, 2 Ho 2.64
Ni4 0.5000 0.6242 0.1242  1 Ni 2.39, 2 Ho 2.64
Ni5 0.6242 0.1242 0.5000  1 Ni 2.39, 2 Ho 2.64
Ni6 0.8758 0.5000 0.3758  1 Ni 2.39, 2 Ho 2.64
Hg1 0.0000 0.0000 0.0000  12 Ho 3.41


Below is crystalline Zn2PbN at its relaxed geometry, with properties calculated at the PBE-GGA level.

Calculated values
calculated total energy = -0.2547 Ry/atom
size of the total moment = 0.000 Bohr magnetons per cell
energy relative to the elements, uncorrected = 0.72 eV/f.u.
crystal system = tetragonal
energy relative to the lowest polymorph listed for this composition = 0.000 eV/atom
space group = I-42d (122)

Cell: 6.0845 6.0845 6.0845 Å, 120.50 120.50 89.13°
Last column: nearest neighbours and their distance in Å.
Fractional coordinates of all 8 atoms:
Zn1 0.3750 0.2119 0.3369  2 N 1.93
Zn2 0.7881 0.1250 0.1631  2 N 1.93
Zn3 0.8750 0.0381 0.6631  2 N 1.93
Zn4 0.9619 0.6250 0.8369  2 N 1.93
Pb1 0.2500 0.7500 0.5000  4 Zn 3.11
Pb2 0.5000 0.5000 0.0000  4 Zn 3.11
N1 0.0000 0.0000 0.0000  4 Zn 1.93
N2 0.7500 0.2500 0.5000  4 Zn 1.93


Below is crystalline CaCuTc2 at its relaxed geometry, with properties calculated at the PBE-GGA level.

Calculated values
calculated total energy = -0.4642 Ry/atom
size of the total moment = 0.000 Bohr magnetons per cell
crystal system = monoclinic
energy relative to the lowest polymorph listed for this composition = 0.190 eV/atom
space group = Cm (8)

Cell: 4.4954 4.4954 5.7252 Å, 100.67 100.67 41.49°
Last column: nearest neighbours and their distance in Å.
Fractional coordinates of all 4 atoms:
Ca1 0.0000 0.0000 0.0000  3 Cu 2.87-2.97, 1 Tc 3.04, 2 Ca 3.18
Cu1 0.7625 0.7625 0.2971  5 Tc 2.59-2.75, 1 Ca 2.87
Tc1 0.2189 0.2189 0.6357  3 Tc 2.46-2.58, 2 Cu 2.59
Tc2 0.4958 0.4958 0.5073  3 Tc 2.46-2.58, 3 Cu 2.63-2.75


Below is crystalline ThAsF at its relaxed geometry, with properties calculated at the PBE-GGA level.

Calculated values
calculated total energy = -0.5180 Ry/atom
size of the total moment = 0.000 Bohr magnetons per cell
energy relative to the elements, uncorrected = -7.20 eV/f.u.
crystal system = hexagonal
energy relative to the lowest polymorph listed for this composition = 0.000 eV/atom
space group = P-6m2 (187)

Cell: 4.1913 4.1913 4.0514 Å, 90.00 90.00 120.00°
Last column: nearest neighbours and their distance in Å.
Fractional coordinates of all 3 atoms:
Th1 0.0000 0.0000 0.0000  3 F 2.42
As1 0.6667 0.3333 0.5000  6 Th 3.16, 6 F 3.16
F1 0.3333 0.6667 0.0000  3 Th 2.42


Below is crystalline SrGa3Pd3 at its relaxed geometry, with properties calculated at the PBE-GGA level.

Calculated values
calculated total energy = -0.3090 Ry/atom
size of the total moment = 0.000 Bohr magnetons per cell
crystal system = cubic
energy relative to the lowest polymorph listed for this composition = 0.123 eV/atom
space group = Pm-3n (223)

Cell: 6.9047 6.9047 6.9047 Å, 90.00 90.00 90.00°
Last column: nearest neighbours and their distance in Å.
Fractional coordinates of all 14 atoms:
Sr1 0.0000 0.0000 0.0000  12 Pd 3.86, 12 Ga 3.86
Sr2 0.5000 0.5000 0.5000  12 Pd 3.86, 12 Ga 3.86
Ga1 0.0000 0.2500 0.5000  4 Pd 2.44
Ga2 0.0000 0.7500 0.5000  4 Pd 2.44
Ga3 0.2500 0.5000 0.0000  4 Pd 2.44
Ga4 0.5000 0.0000 0.2500  4 Pd 2.44
Ga5 0.5000 0.0000 0.7500  4 Pd 2.44
Ga6 0.7500 0.5000 0.0000  4 Pd 2.44
Pd1 0.0000 0.5000 0.2500  4 Ga 2.44
Pd2 0.0000 0.5000 0.7500  4 Ga 2.44
Pd3 0.2500 0.0000 0.5000  4 Ga 2.44
Pd4 0.5000 0.2500 0.0000  4 Ga 2.44
Pd5 0.5000 0.7500 0.0000  4 Ga 2.44
Pd6 0.7500 0.0000 0.5000  4 Ga 2.44


What is the formula in the fifth record?
Zn2PbN


What is the formula in the eighth record?
SrGa3Pd3


Copy entry 1 word for word.
Below is crystalline MnMo2Ru2 at its relaxed geometry, with properties calculated at the PBE-GGA level.

Calculated values
calculated total energy = -0.6937 Ry/atom
size of the total moment = 0.002 Bohr magnetons per cell
crystal system = tetragonal
space group = P4/mbm (127)

Cell: 7.2413 7.2413 2.8921 Å, 90.00 90.00 90.00°
Last column: nearest neighbours and their distance in Å.
Fractional coordinates of all 10 atoms:
Mn1 0.0000 0.0000 0.0000  4 Ru 2.83, 2 Mn 2.89, 8 Mo 3.06
Mn2 0.5000 0.5000 0.0000  4 Ru 2.83, 2 Mn 2.89, 8 Mo 3.06
Mo1 0.1685 0.3315 0.5000  6 Ru 2.50-2.63
Mo2 0.3315 0.8315 0.5000  6 Ru 2.50-2.63
Mo3 0.6685 0.1685 0.5000  6 Ru 2.50-2.63
Mo4 0.8315 0.6685 0.5000  6 Ru 2.50-2.63
Ru1 0.1325 0.6325 0.0000  6 Mo 2.50-2.63, 1 Ru 2.71
Ru2 0.3675 0.1325 0.0000  6 Mo 2.50-2.63, 1 Ru 2.71
Ru3 0.6325 0.8675 0.0000  6 Mo 2.50-2.63, 1 Ru 2.71
Ru4 0.8675 0.3675 0.0000  6 Mo 2.50-2.63, 1 Ru 2.71


Which of these has the highest calculated total energy?
K2Cd2Ag3